1.
Below is a relaxed YThMnAl crystal, with properties calculated at the PBE-GGA level.

The space group is No. 216. For the formation energy, the calculation gives 0.00 eV per atom.

POSCAR file:
```
YThMnAl
1.0
7.273 0.000 0.000
0.000 7.273 0.000
0.000 0.000 7.273
Y Th Mn Al
4 4 4 4
Cartesian
0.000 0.000 0.000
0.000 3.637 3.637
3.637 0.000 3.637
3.637 3.637 0.000
0.000 0.000 3.637
0.000 3.637 0.000
3.637 0.000 0.000
3.637 3.637 3.637
1.818 1.818 1.818
1.818 5.455 5.455
5.455 1.818 5.455
5.455 5.455 1.818
1.818 1.818 5.455
1.818 5.455 1.818
5.455 1.818 1.818
5.455 5.455 5.455
```

---

2.
Below is a relaxed BaZr2 crystal, with properties calculated at the PBE-GGA level.

The space group is No. 12. Its excess energy over the best structure of this formula in the dataset is 0 meV/atom. For the formation energy, the calculation gives 0.32 eV per atom.

POSCAR file:
```
BaZr2
1.0
10.150 0.000 0.000
0.000 4.319 0.000
-2.126 0.000 9.835
Ba Zr
4 8
Cartesian
1.362 0.000 1.487
1.587 2.160 8.348
6.437 2.160 1.487
6.662 0.000 8.348
-0.700 2.160 3.502
0.479 0.000 5.264
2.470 2.160 4.571
3.649 0.000 6.333
4.375 0.000 3.502
5.554 2.160 5.264
7.545 0.000 4.571
8.724 2.160 6.333
```

---

3.
Below is a relaxed Tb2HoPt crystal, with properties calculated at the PBE-GGA level.

The space group is No. 63. Its excess energy over the best structure of this formula in the dataset is 40 meV/atom. For the formation energy, the calculation gives -0.67 eV per atom.

POSCAR file:
```
Tb2HoPt
1.0
3.790 0.000 0.000
0.000 12.076 0.000
0.000 0.000 9.519
Tb Ho Pt
8 4 4
Cartesian
0.000 1.647 0.607
0.000 1.647 4.153
0.000 10.429 5.367
0.000 10.429 8.912
1.895 4.391 5.367
1.895 4.391 8.912
1.895 7.685 0.607
1.895 7.685 4.153
0.000 5.161 2.380
0.000 6.916 7.139
1.895 0.878 7.139
1.895 11.199 2.380
0.000 3.134 7.139
0.000 8.943 2.380
1.895 2.904 2.380
1.895 9.172 7.139
```

---

4.
Below is a relaxed SrCr2Rh crystal, with properties calculated at the PBE-GGA level.

The space group is No. 47. Its excess energy over the best structure of this formula in the dataset is 311 meV/atom. For the formation energy, the calculation gives 0.58 eV per atom.

POSCAR file:
```
SrCr2Rh
1.0
2.933 0.000 0.000
0.000 4.164 0.000
0.000 0.000 6.350
Sr Cr Rh
1 2 1
Cartesian
0.000 0.000 0.000
1.466 2.082 2.257
1.466 2.082 4.092
0.000 0.000 3.175
```

---

5.
Below is a relaxed Sc2FeP2 crystal, with properties calculated at the PBE-GGA level.

The space group is No. 139. Its excess energy over the best structure of this formula in the dataset is 685 meV/atom. For the formation energy, the calculation gives -0.32 eV per atom.

POSCAR file:
```
Sc2FeP2
1.0
3.394 0.000 0.000
0.000 3.394 0.000
0.000 0.000 14.849
Sc Fe P
4 2 4
Cartesian
0.000 0.000 1.587
0.000 0.000 13.263
1.697 1.697 5.838
1.697 1.697 9.011
0.000 0.000 7.425
1.697 1.697 0.000
0.000 1.697 3.712
0.000 1.697 11.137
1.697 0.000 3.712
1.697 0.000 11.137
```

---

6.
Below is a relaxed ZnPbCl2 crystal, with properties calculated at the PBE-GGA level.

The calculation puts the energy relative to the elements, uncorrected at -2.42 eV per formula unit. The space group is No. 8. Its excess energy over the best structure of this formula in the dataset is 66 meV/atom.

POSCAR file:
```
ZnPbCl2
1.0
12.628 0.000 0.000
0.000 3.748 0.000
-1.691 0.000 4.861
Zn Pb Cl
2 2 4
Cartesian
0.000 0.000 0.000
6.314 1.874 0.000
0.769 1.874 2.156
7.083 0.000 2.156
0.888 0.000 4.532
4.367 0.000 3.181
7.202 1.874 4.532
10.681 1.874 3.181
```

---

7.
Below is a relaxed In2HAu crystal, with properties calculated at the PBE-GGA level.

The space group is No. 225. Its excess energy over the best structure of this formula in the dataset is 25 meV/atom.

POSCAR file:
```
In2HAu
1.0
6.730 0.000 0.000
0.000 6.730 0.000
0.000 0.000 6.730
In H Au
8 4 4
Cartesian
1.682 1.682 1.682
1.682 1.682 5.047
1.682 5.047 1.682
1.682 5.047 5.047
5.047 1.682 1.682
5.047 1.682 5.047
5.047 5.047 1.682
5.047 5.047 5.047
0.000 0.000 0.000
0.000 3.365 3.365
3.365 0.000 3.365
3.365 3.365 0.000
0.000 0.000 3.365
0.000 3.365 0.000
3.365 0.000 0.000
3.365 3.365 3.365
```

---

8.
Below is a relaxed Cs2PmTeO6 crystal, with properties calculated at the PBE-GGA level.

The calculation puts the energy relative to the elements, uncorrected at -16.73 eV per formula unit. The space group is No. 164.

POSCAR file:
```
Cs2PmTeO6
1.0
6.916 0.000 0.000
-3.458 5.989 0.000
0.000 0.000 6.081
Cs Pm Te O
2 1 1 6
Cartesian
0.000 3.993 0.677
3.458 1.996 5.404
0.000 0.000 3.041
0.000 0.000 0.000
0.000 1.549 4.873
-2.117 5.215 4.873
1.341 0.774 1.208
2.117 5.215 4.873
5.575 0.774 1.208
3.458 4.441 1.208
```

---

9.
Below is a relaxed Tb3Tm4In2 crystal, with properties calculated at the PBE-GGA level.

The space group is No. 15. For the formation energy, the calculation gives -0.10 eV per atom.

POSCAR file:
```
Tb3Tm4In2
1.0
6.677 -6.411 0.000
6.677 6.411 0.000
-0.938 0.000 6.287
Tb Tm In
6 8 4
Cartesian
5.974 6.087 4.716
4.359 0.804 5.728
4.828 -0.804 2.584
7.589 0.804 3.703
8.058 -0.804 0.559
6.443 -6.087 1.572
2.225 2.149 0.470
5.026 2.775 2.709
1.756 -2.149 3.613
7.860 2.775 0.434
4.558 -2.775 5.853
10.661 2.149 2.674
7.391 -2.775 3.578
10.192 -2.149 5.818
2.260 1.033 3.517
2.729 -1.033 0.374
9.688 1.033 5.914
10.157 -1.033 2.770
```

---

10.
Below is a relaxed La2Pm4Tl3Cl2 crystal, with properties calculated at the PBE-GGA level.

The calculation puts the energy relative to the elements, uncorrected at -7.22 eV per formula unit. The space group is No. 139.

POSCAR file:
```
La2Pm4Tl3Cl2
1.0
-2.707 2.707 11.879
2.707 -2.707 11.879
2.707 2.707 -11.879
La Pm Tl Cl
2 4 3 2
Cartesian
0.000 0.000 4.801
0.000 0.000 18.957
2.707 0.000 2.017
2.707 0.000 9.862
0.000 2.707 2.017
0.000 2.707 9.862
0.000 0.000 8.046
0.000 0.000 11.879
0.000 0.000 15.712
0.000 0.000 1.752
0.000 0.000 22.006
```

---

11.
Below is a relaxed Mn2AgRh crystal, with properties calculated at the PBE-GGA level.

The space group is No. 35. For the formation energy, the calculation gives 0.31 eV per atom.

POSCAR file:
```
Mn2AgRh
1.0
2.913 0.000 0.000
0.000 4.602 0.000
0.000 0.000 8.946
Mn Ag Rh
4 2 2
Cartesian
0.000 0.000 0.000
0.000 2.301 2.106
1.457 0.000 2.106
1.457 2.301 0.000
0.000 2.301 6.587
1.457 0.000 6.587
0.000 0.000 4.123
1.457 2.301 4.123
```

---

12.
Below is a relaxed SrCu2IO2 crystal, with properties calculated at the PBE-GGA level.

The calculation puts the energy relative to the elements, uncorrected at -6.67 eV per formula unit. The space group is No. 11.

POSCAR file:
```
SrCu2IO2
1.0
5.928 0.000 0.000
0.000 5.724 0.000
-2.587 0.000 7.266
Sr Cu I O
2 4 2 4
Cartesian
0.107 1.431 1.335
3.234 4.293 5.931
-1.375 1.431 5.591
0.259 4.293 7.229
3.082 1.431 0.037
4.716 4.293 1.674
0.201 4.293 3.677
3.140 1.431 3.589
-0.994 0.072 7.019
-0.994 2.790 7.019
4.335 2.934 0.247
4.335 5.652 0.247
```

---

13.
Below is a relaxed NaHfNb4N8 crystal, with properties calculated at the PBE-GGA level.

The calculation puts the energy relative to the elements, uncorrected at -10.84 eV per formula unit. The space group is No. 160.

POSCAR file:
```
NaHfNb4N8
1.0
3.133 1.809 5.261
-3.133 1.809 5.261
0.000 -3.618 5.261
Na Hf Nb N
1 1 4 8
Cartesian
0.000 0.000 0.000
0.000 0.000 5.985
0.000 -1.781 2.631
-1.543 0.891 2.631
1.543 0.891 2.631
0.000 0.000 9.857
0.000 0.000 3.856
-1.553 -0.896 9.084
0.000 -1.879 6.796
-1.627 0.939 6.796
1.553 -0.896 9.084
0.000 1.793 9.084
0.000 0.000 11.966
1.627 0.939 6.796
```

---

14.
Below is a relaxed Tb8PrTl6 crystal, with properties calculated at the PBE-GGA level.

The space group is No. 148. For the formation energy, the calculation gives -0.14 eV per atom.

POSCAR file:
```
Tb8PrTl6
1.0
4.597 2.654 6.515
-4.597 2.654 6.515
0.000 -5.308 6.515
Tb Pr Tl
8 1 6
Cartesian
-1.510 -2.638 7.626
0.000 0.000 3.278
-3.040 -0.011 11.920
-1.530 2.627 7.626
1.530 -2.627 11.920
3.040 0.011 7.626
0.000 0.000 16.267
1.510 2.638 11.920
0.000 0.000 9.773
-3.128 0.001 8.535
-1.565 -2.709 11.011
1.564 -2.709 8.535
-1.564 2.709 11.011
1.565 2.709 8.535
3.128 -0.001 11.011
```

---

15.
Below is a relaxed Li2AcSn crystal, with properties calculated at the PBE-GGA level.

The space group is No. 225. Its excess energy over the best structure of this formula in the dataset is 0 meV/atom. For the formation energy, the calculation gives -0.41 eV per atom.

POSCAR file:
```
Li2AcSn
1.0
7.228 0.000 0.000
0.000 7.228 0.000
0.000 0.000 7.228
Li Ac Sn
8 4 4
Cartesian
1.807 1.807 1.807
1.807 1.807 5.421
1.807 5.421 1.807
1.807 5.421 5.421
5.421 1.807 1.807
5.421 1.807 5.421
5.421 5.421 1.807
5.421 5.421 5.421
0.000 0.000 0.000
0.000 3.614 3.614
3.614 0.000 3.614
3.614 3.614 0.000
0.000 0.000 3.614
0.000 3.614 0.000
3.614 0.000 0.000
3.614 3.614 3.614
```

---

16.
Below is a relaxed USeCl crystal, with properties calculated at the PBE-GGA level.

The calculation puts the energy relative to the elements, uncorrected at -3.64 eV per formula unit. The space group is No. 216.

POSCAR file:
```
USeCl
1.0
6.891 0.000 0.000
0.000 6.891 0.000
0.000 0.000 6.891
U Se Cl
4 4 4
Cartesian
0.000 0.000 0.000
0.000 3.446 3.446
3.446 0.000 3.446
3.446 3.446 0.000
1.723 1.723 1.723
1.723 5.169 5.169
5.169 1.723 5.169
5.169 5.169 1.723
1.723 1.723 5.169
1.723 5.169 1.723
5.169 1.723 1.723
5.169 5.169 5.169
```

---

17.
Below is a relaxed SrCl crystal, with properties calculated at the PBE-GGA level.

The calculation puts the energy relative to the elements, uncorrected at -3.40 eV per formula unit. The space group is No. 63.

POSCAR file:
```
SrCl
1.0
3.902 0.000 0.000
0.000 19.998 0.000
0.000 0.000 3.909
Sr Cl
4 4
Cartesian
0.000 3.272 0.977
0.000 16.726 2.932
1.951 6.727 2.932
1.951 13.270 0.977
0.000 8.043 0.977
0.000 11.954 2.932
1.951 1.955 2.932
1.951 18.042 0.977
```

---

18.
Below is a relaxed CsHgPd2Cl crystal, with properties calculated at the PBE-GGA level.

The calculation puts the energy relative to the elements, uncorrected at -0.01 eV per formula unit. The space group is No. 123.

POSCAR file:
```
CsHgPd2Cl
1.0
5.180 0.000 0.000
0.000 5.180 0.000
0.000 0.000 6.480
Cs Hg Pd Cl
1 1 2 1
Cartesian
0.000 0.000 0.000
2.590 2.590 3.240
0.000 2.590 3.240
2.590 0.000 3.240
2.590 2.590 0.000
```

---

19.
Below is a relaxed Mg2HgPd4 crystal, with properties calculated at the PBE-GGA level.

The space group is No. 139. Its excess energy over the best structure of this formula in the dataset is 22 meV/atom. For the formation energy, the calculation gives -0.37 eV per atom.

POSCAR file:
```
Mg2HgPd4
1.0
5.947 0.000 0.000
0.000 5.947 0.000
0.000 0.000 7.145
Mg Hg Pd
4 2 8
Cartesian
0.000 2.974 0.000
0.000 2.974 3.572
2.974 0.000 0.000
2.974 0.000 3.572
0.000 0.000 0.000
2.974 2.974 3.572
1.487 1.487 1.786
1.487 1.487 5.359
1.487 4.460 1.786
1.487 4.460 5.359
4.460 1.487 1.786
4.460 1.487 5.359
4.460 4.460 1.786
4.460 4.460 5.359
```

---

20.
Below is a relaxed Tb3Ho8 crystal, with properties calculated at the PBE-GGA level.

The space group is No. 148. Its excess energy over the best structure of this formula in the dataset is 563 meV/atom. For the formation energy, the calculation gives 0.58 eV per atom.

POSCAR file:
```
Tb3Ho8
1.0
4.782 2.761 4.461
-4.782 2.761 4.461
0.000 -5.521 4.461
Tb Ho
3 8
Cartesian
-2.391 -1.380 4.461
-2.391 1.380 8.923
0.000 2.761 4.461
-2.772 -2.432 7.419
-3.492 1.185 5.965
0.720 -3.617 5.965
0.000 0.000 5.130
0.000 0.000 8.254
-0.720 3.617 7.419
3.492 -1.185 7.419
2.772 2.432 5.965
```

---

21.
Below is a relaxed BaNaNbBiO6 crystal, with properties calculated at the PBE-GGA level.

The calculation puts the energy relative to the elements, uncorrected at -20.39 eV per formula unit. The space group is No. 216.

POSCAR file:
```
BaNaNbBiO6
1.0
0.000 4.242 4.242
4.242 0.000 4.242
4.242 4.242 0.000
Ba Na Nb Bi O
1 1 1 1 6
Cartesian
0.000 0.000 0.000
4.242 4.242 4.242
2.121 2.121 2.121
6.363 6.363 6.363
2.121 2.121 0.111
2.121 0.111 2.121
4.131 2.121 2.121
0.111 2.121 2.121
2.121 4.131 2.121
2.121 2.121 4.131
```

---

22.
Below is a relaxed PuBiO4 crystal, with properties calculated at the PBE-GGA level.

The calculation puts the energy relative to the elements, uncorrected at -12.72 eV per formula unit. The space group is No. 141. Its excess energy over the best structure of this formula in the dataset is 29 meV/atom.

POSCAR file:
```
PuBiO4
1.0
-2.734 2.734 5.411
2.734 -2.734 5.411
2.734 2.734 -5.411
Pu Bi O
2 2 8
Cartesian
2.734 1.367 1.353
0.000 1.367 4.058
2.734 -1.367 4.058
0.000 4.101 1.353
1.471 0.000 0.000
3.997 0.000 0.000
1.367 2.838 -2.705
1.367 0.104 2.705
1.471 2.734 0.000
1.263 0.000 5.411
-1.367 2.630 2.705
1.367 2.630 2.705
```

---

23.
Below is a relaxed Ac3Pm6Sm crystal, with properties calculated at the PBE-GGA level.

The space group is No. 148. For the formation energy, the calculation gives 0.36 eV per atom.

POSCAR file:
```
Ac3Pm6Sm
1.0
5.102 2.946 4.294
-5.102 2.946 4.294
0.000 -5.892 4.294
Ac Pm Sm
3 6 1
Cartesian
0.000 0.000 0.000
0.000 0.000 3.329
0.000 0.000 9.553
-1.685 -2.897 5.452
-3.352 0.011 7.430
-1.667 2.908 5.452
1.667 -2.908 7.430
3.352 -0.011 5.452
1.685 2.897 7.430
0.000 0.000 6.441
```

---

24.
Below is a relaxed CaLuAgSn crystal, with properties calculated at the PBE-GGA level.

The space group is No. 216. For the formation energy, the calculation gives -0.50 eV per atom.

POSCAR file:
```
CaLuAgSn
1.0
7.387 0.000 0.000
0.000 7.387 0.000
0.000 0.000 7.387
Ca Lu Ag Sn
4 4 4 4
Cartesian
0.000 0.000 0.000
0.000 3.693 3.693
3.693 0.000 3.693
3.693 3.693 0.000
0.000 0.000 3.693
0.000 3.693 0.000
3.693 0.000 0.000
3.693 3.693 3.693
1.847 1.847 1.847
1.847 5.540 5.540
5.540 1.847 5.540
5.540 5.540 1.847
1.847 1.847 5.540
1.847 5.540 1.847
5.540 1.847 1.847
5.540 5.540 5.540
```